(1)
KCr2In, optimized geometry, DFT PBE; calculated formation energy = 755 meV/atom; SG = Imm2 (44); energy = -5.016 eV per atom
1.0
-3.188 -4.764 -2.651
2.515 -5.792 0.102
-2.404 5.054 2.926
In Cr K
1 2 1
direct
0.537 0.537 0.000
0.948 0.948 0.000
0.774 0.274 0.500
0.241 0.741 0.500


(2)
PmTaO4, optimized geometry, DFT PBE; SG = Imma (74); formation energy (no corrections) = -3.029 eV/atom; energy = -9.102 eV per atom
1.0
5.636 0.114 -2.296
-2.842 5.116 -1.674
-0.259 -0.114 6.081
O Pm Ta
8 2 2
direct
0.726 0.226 0.001
0.750 0.673 0.923
0.750 0.326 0.577
0.274 0.774 0.999
0.250 0.674 0.423
0.225 0.226 0.499
0.250 0.327 0.077
0.775 0.774 0.501
0.251 0.001 0.750
0.749 0.999 0.250
0.000 0.500 0.000
0.500 0.500 0.500


(3)
CdHg3Br, optimized geometry, DFT PBE; SG = Pm-3m (221); formation energy (no corrections) = 0.235 eV/atom; energy = -0.464 eV per atom
1.0
6.218 0.000 0.000
0.000 6.218 0.000
0.000 0.000 6.218
Br Hg Cd
1 3 1
direct
0.000 0.000 0.000
0.500 0.000 0.000
0.000 0.500 0.000
0.000 0.000 0.500
0.500 0.500 0.500


(4)
La2ZrAlPt6, optimized geometry, DFT PBE; calculated formation energy = -861 meV/atom; SG = R-3m (166); energy = -6.700 eV per atom
1.0
1.582 8.454 1.410
-1.302 -0.685 5.572
5.001 5.286 4.799
Zr Pt Al La
1 6 1 2
direct
0.500 0.500 0.000
0.244 0.250 0.993
0.250 0.243 0.513
0.244 0.757 0.993
0.756 0.243 0.007
0.756 0.750 0.007
0.750 0.757 0.487
0.000 0.000 0.000
0.709 0.291 0.418
0.291 0.709 0.582


(5)
ThHg11, optimized geometry, DFT PBE; calculated formation energy = 7 meV/atom; SG = P6/mmm (191); energy = -0.888 eV per atom
1.0
3.298 0.000 0.000
0.000 8.947 -5.166
0.000 0.000 10.331
Hg Th
11 1
direct
0.500 0.829 0.657
0.000 0.667 0.333
0.500 0.343 0.171
0.500 0.171 0.343
0.500 0.657 0.829
0.000 0.333 0.667
0.500 0.829 0.171
0.000 0.500 0.500
0.500 0.171 0.829
0.000 0.000 0.500
0.000 0.500 0.000
0.000 0.000 0.000


(6)
TbPm3Sm12, optimized geometry, DFT PBE; calculated formation energy = 14 meV/atom; SG = P4/mmm (123); energy = -4.705 eV per atom
1.0
5.128 0.000 0.000
0.000 5.128 0.000
0.000 0.000 20.507
Sm Tb Pm
12 1 3
direct
0.500 0.500 0.000
0.500 0.000 0.625
0.000 0.500 0.625
0.500 0.500 0.500
0.000 0.500 0.375
0.000 0.500 0.876
0.500 0.500 0.249
0.500 0.000 0.375
0.000 0.500 0.124
0.500 0.000 0.124
0.500 0.000 0.876
0.500 0.500 0.751
0.000 0.000 0.000
0.000 0.000 0.249
0.000 0.000 0.500
0.000 0.000 0.751


(7)
Ca2Al2GaRh5, optimized geometry, DFT PBE; calculated formation energy = -686 meV/atom; SG = P4/mbm (127); energy = -5.813 eV per atom
1.0
3.165 0.000 0.000
0.000 10.253 0.000
0.000 0.000 10.253
Al Rh Ca Ga
4 10 4 2
direct
0.000 0.871 0.371
0.000 0.129 0.629
0.000 0.371 0.129
0.000 0.629 0.871
0.500 0.564 0.697
0.500 0.303 0.564
0.500 0.436 0.303
0.500 0.803 0.936
0.500 0.064 0.803
0.500 0.936 0.197
0.500 0.197 0.064
0.500 0.500 0.000
0.500 0.697 0.436
0.500 0.000 0.500
0.000 0.673 0.173
0.000 0.173 0.327
0.000 0.327 0.827
0.000 0.827 0.673
0.000 0.500 0.500
0.000 0.000 0.000


(8)
PrSmPd2, optimized geometry, DFT PBE; calculated formation energy = -742 meV/atom; SG = Fm-3m (225); energy = -5.713 eV per atom
1.0
5.119 0.000 0.000
2.560 4.433 0.000
2.560 1.478 4.180
Sm Pr Pd
1 1 2
direct
0.500 0.500 0.500
0.000 0.000 0.000
0.250 0.250 0.250
0.750 0.750 0.750


(9)
La5PrIn2, optimized geometry, DFT PBE; calculated formation energy = -181 meV/atom; SG = Cmcm (63); energy = -4.543 eV per atom
1.0
-2.486 2.326 -4.174
-4.247 -2.846 4.420
-0.791 14.175 8.369
La In Pr
10 4 2
direct
0.038 0.076 0.394
0.359 0.718 0.026
0.641 0.282 0.974
0.359 0.718 0.474
0.038 0.076 0.106
0.962 0.924 0.894
0.962 0.924 0.606
0.641 0.282 0.526
0.458 0.916 0.750
0.542 0.084 0.250
0.223 0.447 0.855
0.777 0.553 0.355
0.223 0.447 0.645
0.777 0.553 0.145
0.271 0.542 0.250
0.729 0.458 0.750


(10)
PtWAu2, optimized geometry, DFT PBE; calculated formation energy = 291 meV/atom; SG = Immm (71); energy = -6.096 eV per atom
1.0
-3.360 3.778 -2.717
-5.172 1.387 2.066
5.724 -0.166 0.383
W Au Pt
1 2 1
direct
0.750 0.250 0.500
0.506 0.506 0.000
0.994 0.994 0.000
0.250 0.750 0.500


(11)
Mg3FePd, optimized geometry, DFT PBE; calculated formation energy = 414 meV/atom; SG = Pm-3m (221); energy = -3.274 eV per atom
1.0
-3.526 -3.364 0.299
1.203 -1.655 -4.433
3.156 -3.128 2.024
Fe Mg Pd
1 3 1
direct
0.500 0.500 0.500
0.000 0.000 0.500
0.500 0.000 0.000
0.000 0.500 0.000
0.000 0.000 0.000


(12)
RbScC, optimized geometry, DFT PBE; calculated formation energy = 1250 meV/atom; SG = P6_3/mmc (194); energy = -4.258 eV per atom
1.0
-4.787 -0.143 4.621
0.167 -4.645 -4.763
4.532 -4.509 4.556
C Rb Sc
2 2 2
direct
0.000 0.000 0.000
0.000 0.000 0.500
0.667 0.333 0.750
0.333 0.667 0.250
0.000 0.000 0.250
0.000 0.000 0.750